1.
An optimized crystal structure of ZnGa2S4, computed with GGA-PBE.

Summary:
**Total energy**: -4.051 eV/atom
**Crystal system**: trigonal
**Raw formation energy**: -0.6453 eV/atom
**SG**: R-3m (166)

a b c (Å): 13.090 13.090 13.090
angles (deg): 16.32 16.32 16.32
Atoms (fractional coordinates):
Ga1 0.243 0.243 0.243
Zn1 0.000 0.000 0.000
S1 0.700 0.700 0.700
S2 0.117 0.117 0.117
Ga2 0.757 0.757 0.757
S3 0.883 0.883 0.883
S4 0.300 0.300 0.300



2.
An optimized crystal structure of Zn2Ga2S5, computed with GGA-PBE.

Summary:
**Total energy**: -3.863 eV/atom
**Crystal system**: hexagonal
**Raw formation energy**: -0.6147 eV/atom
**SG**: P6_3mc (186)

a b c (Å): 3.751 3.751 30.209
angles (deg): 90.00 90.00 120.00
Atoms (fractional coordinates):
Zn1 0.667 0.333 0.433
S1 0.667 0.333 0.958
S2 0.333 0.667 0.458
S3 0.667 0.333 0.351
Ga1 0.000 0.000 0.811
Zn2 0.333 0.667 0.933
S4 0.333 0.667 0.851
Zn3 0.333 0.667 0.191
S5 0.333 0.667 0.659
S6 0.333 0.667 0.265
Ga2 0.333 0.667 0.582
S7 0.667 0.333 0.765
Ga3 0.000 0.000 0.311
S8 0.333 0.667 0.053
Ga4 0.667 0.333 0.082
S9 0.667 0.333 0.553
Zn4 0.667 0.333 0.691
S10 0.667 0.333 0.159



3.
An optimized crystal structure of ZnGa2S4, computed with GGA-PBE.

Summary:
**Total energy**: -4.139 eV/atom
**Crystal system**: tetragonal
**Raw formation energy**: -0.7333 eV/atom
**SG**: I-4 (82)

a b c (Å): 6.471 6.471 6.471
angles (deg): 131.06 131.06 71.72
Atoms (fractional coordinates):
S1 0.871 0.379 0.989
S2 0.621 0.610 0.491
S3 0.118 0.129 0.509
S4 0.390 0.882 0.011
Ga1 0.250 0.750 0.500
Zn1 0.000 0.000 0.000
Ga2 0.500 0.500 0.000



Repeat the third record exactly.
An optimized crystal structure of ZnGa2S4, computed with GGA-PBE.

Summary:
**Total energy**: -4.139 eV/atom
**Crystal system**: tetragonal
**Raw formation energy**: -0.7333 eV/atom
**SG**: I-4 (82)

a b c (Å): 6.471 6.471 6.471
angles (deg): 131.06 131.06 71.72
Atoms (fractional coordinates):
S1 0.871 0.379 0.989
S2 0.621 0.610 0.491
S3 0.118 0.129 0.509
S4 0.390 0.882 0.011
Ga1 0.250 0.750 0.500
Zn1 0.000 0.000 0.000
Ga2 0.500 0.500 0.000



- Among the records above, which one has the highest raw formation energy?
  Zn2Ga2S5